## SnPb2Au2 (meta-GGA SCAN)

Data for SnPb2Au2 at its PBEsol-relaxed geometry.

CIF file:
```
data_SnPb2Au2
_cell_length_a 7.496
_cell_length_b 7.496
_cell_length_c 4.254
_cell_angle_alpha 90.00
_cell_angle_beta 90.00
_cell_angle_gamma 90.00
_symmetry_space_group_name_H-M 'P 4/m b m'
_symmetry_Int_Tables_number 127
_symmetry_space_group_name_Hall '-P 4 2ab'
loop_
_atom_site_label
_atom_site_fract_x
_atom_site_fract_y
_atom_site_fract_z
Sn1 0.000 0.000 0.000
Pb1 0.168 0.332 0.500
Au1 0.134 0.634 0.000
```

Magnetization ... 0.000 μB/cell
DOS(E_F) ... 5.26 states/eV per cell
Calculated density ... 12.88 g/cm³
E_form ... -0.02 eV/atom
Energy ... -65.175 eV/atom